This record from Alexandria describes a geometry-optimized TcSbOs4 structure. The functional is GGA-PBE.

The formation energy from raw total energies comes out at 0.93 eV/atom. As for the symmetry: F-43m. As for the total moment: 0.66 μB per formula unit. For the density of states at the Fermi level, the calculation gives 1.5141 states/eV/atom.

abc: 5.201 5.201 5.201
angles: 60.00 60.00 60.00
Fractional coordinates of all 6 atoms:
1 Os 0.374 0.877 0.374
2 Sb 0.750 0.750 0.750
3 Os 0.374 0.374 0.877
4 Os 0.374 0.374 0.374
5 Tc 0.000 0.000 0.000
6 Os 0.877 0.374 0.374